Here is a geometry-optimized BaSb2Te4 structure from Alexandria via LeMat-Bulk. Energies are from PBE.

Cell and atoms, written as POSCAR:
```
BaSb2Te4
1.0
4.517 0.000 0.000
-2.258 7.297 0.000
0.000 0.000 15.538
Ba Sb Te
2 4 8
direct
0.609 0.218 0.750 Ba
0.391 0.782 0.250 Ba
0.134 0.269 0.433 Sb
0.866 0.731 0.933 Sb
0.134 0.269 0.067 Sb
0.866 0.731 0.567 Sb
0.769 0.539 0.110 Te
0.769 0.539 0.390 Te
0.231 0.461 0.890 Te
0.231 0.461 0.610 Te
0.935 0.870 0.750 Te
0.065 0.130 0.250 Te
0.500 0.000 0.000 Te
0.500 0.000 0.500 Te
```

Results
Size of the total moment = 0.00 Bohr magnetons per cell
E_form (uncorrected) = -0.533 eV/atom
SG = Cmcm (63)
E above lowest polymorph = 0 meV per atom
Calculated volume = 36.58 A^3/atom